# PBE SmPdPb2, optimized geometry
data_SmPdPb2
_symmetry_space_group_name_H-M 'I 4/m m m'
_symmetry_Int_Tables_number 139
_symmetry_space_group_name_Hall '-I 4 2'
_cell_length_a 4.868
_cell_length_b 4.868
_cell_length_c 17.175
_cell_angle_alpha 90.00
_cell_angle_beta 90.00
_cell_angle_gamma 90.00
loop_
_atom_site_label
_atom_site_type_symbol
_atom_site_fract_x
_atom_site_fract_y
_atom_site_fract_z
Sm1 Sm 0.000 0.000 0.139
Pd1 Pd 0.000 0.500 0.250
Pb1 Pb 0.000 0.000 0.345
Pb2 Pb 0.000 0.500 0.000
# ΔE to the lowest computed polymorph ... 0 meV/atom



# PBE Cd2HOs, optimized geometry
data_Cd2HOs
_symmetry_space_group_name_H-M 'F m -3 m'
_symmetry_Int_Tables_number 225
_symmetry_space_group_name_Hall '-F 4 2 3'
_cell_length_a 6.462
_cell_length_b 6.462
_cell_length_c 6.462
_cell_angle_alpha 90.00
_cell_angle_beta 90.00
_cell_angle_gamma 90.00
loop_
_atom_site_label
_atom_site_type_symbol
_atom_site_fract_x
_atom_site_fract_y
_atom_site_fract_z
Cd1 Cd 0.250 0.250 0.250
H1 H 0.000 0.000 0.000
Os1 Os 0.000 0.000 0.500
# ΔE to the lowest computed polymorph ... 603 meV/atom



# PBE SrZr2Mn, optimized geometry
data_SrZr2Mn
_symmetry_space_group_name_H-M 'P 4 m m'
_symmetry_Int_Tables_number 99
_cell_length_a 3.485
_cell_length_b 3.485
_cell_length_c 8.484
_cell_angle_alpha 90.00
_cell_angle_beta 90.00
_cell_angle_gamma 90.00
loop_
_symmetry_equiv_pos_as_xyz
'x,y,z'
'-y,x,z'
'-x,-y,z'
'y,-x,z'
'-x,y,z'
'y,x,z'
'x,-y,z'
'-y,-x,z'
loop_
_atom_site_label
_atom_site_type_symbol
_atom_site_fract_x
_atom_site_fract_y
_atom_site_fract_z
Sr1 Sr 0.000 0.000 0.000
Zr1 Zr 0.000 0.000 0.574
Zr2 Zr 0.500 0.500 0.350
Mn1 Mn 0.500 0.500 0.722
# ΔE to the lowest computed polymorph ... 0 meV/atom



# PBE ErPuRhAu, optimized geometry
data_ErPuRhAu
_symmetry_space_group_name_H-M 'F -4 3 m'
_symmetry_Int_Tables_number 216
_symmetry_space_group_name_Hall 'F -4 2 3'
_cell_length_a 7.035
_cell_length_b 7.035
_cell_length_c 7.035
_cell_angle_alpha 90.00
_cell_angle_beta 90.00
_cell_angle_gamma 90.00
loop_
_atom_site_label
_atom_site_type_symbol
_atom_site_fract_x
_atom_site_fract_y
_atom_site_fract_z
Er1 Er 0.000 0.000 0.000
Pu1 Pu 0.000 0.000 0.500
Rh1 Rh 0.250 0.250 0.750
Au1 Au 0.250 0.250 0.250
# VASP energy ... -7.955 eV per atom



# PBE Ac8PdRh3, optimized geometry
data_Ac8PdRh3
_symmetry_space_group_name_H-M 'C 1 2/m 1'
_symmetry_Int_Tables_number 12
_cell_length_a 14.388
_cell_length_b 8.803
_cell_length_c 8.423
_cell_angle_alpha 90.00
_cell_angle_beta 122.10
_cell_angle_gamma 90.00
loop_
_symmetry_equiv_pos_as_xyz
'x,y,z'
'-x,-y,-z'
'-x,y,-z'
'x,-y,z'
'x+1/2,y+1/2,z'
'-x+1/2,-y+1/2,-z'
'-x+1/2,y+1/2,-z'
'x+1/2,-y+1/2,z'
loop_
_atom_site_label
_atom_site_type_symbol
_atom_site_fract_x
_atom_site_fract_y
_atom_site_fract_z
Ac1 Ac 0.007 0.243 0.251
Ac2 Ac 0.246 0.000 0.253
Ac3 Ac 0.250 0.000 0.737
Pd1 Pd 0.000 0.500 0.000
Rh1 Rh 0.000 0.000 0.000
Rh2 Rh 0.250 0.250 0.500
# VASP energy ... -5.557 eV per atom



Summary of volume in Å³ per atom
25.4, 16.9, 25.8, 21.8, 37.7
(order as listed above)